(1)
# PBE-GGA HPd4Au2, optimized geometry
data_HPd4Au2
_chemical_formula_sum 'H2 Pd8 Au4'
_symmetry_space_group_name_H-M 'P 1'
_symmetry_Int_Tables_number 1
_cell_length_a 6.835
_cell_length_b 6.869
_cell_length_c 5.717
_cell_angle_alpha 128.51
_cell_angle_beta 90.05
_cell_angle_gamma 102.76
loop_
_symmetry_equiv_pos_as_xyz
'x,y,z'
loop_
_atom_site_label
_atom_site_type_symbol
_atom_site_fract_x
_atom_site_fract_y
_atom_site_fract_z
Pd1 Pd 0.304 0.057 0.296
Pd2 Pd 0.689 0.946 0.707
Au1 Au 0.689 0.944 0.204
H1 H 0.165 0.667 0.467
Au2 Au 0.027 0.281 0.710
Pd3 Pd 0.964 0.723 0.790
Pd4 Pd 0.305 0.054 0.783
Pd5 Pd 0.968 0.729 0.292
Au3 Au 0.632 0.392 0.792
H2 H 0.146 0.044 0.032
Au4 Au 0.631 0.396 0.292
Pd6 Pd 0.017 0.290 0.216
Pd7 Pd 0.356 0.613 0.207
Pd8 Pd 0.357 0.616 0.710
# Density: 13.5 Mg/m³
# SG: P1
# DOS at the Fermi energy: 1.095 states/eV per atom
# E above lowest polymorph: 0.0 meV/atom
# Magnetization: 0.00 μB per formula unit

---

(2)
# PBE-GGA NpFe3H6, optimized geometry
data_NpFe3H6
_chemical_formula_sum 'Np1 Fe3 H6'
_symmetry_space_group_name_H-M 'P 1'
_symmetry_Int_Tables_number 1
_cell_length_a 4.450
_cell_length_b 4.450
_cell_length_c 5.227
_cell_angle_alpha 90.00
_cell_angle_beta 115.15
_cell_angle_gamma 120.00
loop_
_symmetry_equiv_pos_as_xyz
'x,y,z'
loop_
_atom_site_label
_atom_site_type_symbol
_atom_site_fract_x
_atom_site_fract_y
_atom_site_fract_z
H1 H 0.159 0.706 0.255
H2 H 0.858 0.426 0.785
H3 H 0.353 0.927 0.785
Np1 Np 0.776 0.888 0.664
Fe1 Fe 0.681 0.341 0.022
Fe2 Fe 0.357 0.679 0.036
H4 H 0.359 0.432 0.785
H5 H 0.549 0.454 0.255
Fe3 Fe 0.107 0.053 0.160
H6 H 0.801 0.095 0.255
# Density: 8.7 Mg/m³
# SG: R3
# DOS at the Fermi energy: 0.781 states/eV per atom
# Uncorrected energy: -5.89 eV per atom
# Magnetization: 3.01 μB per formula unit